# CaSc5In6 PBE-GGA relaxed
# - formation enthalpy at 0 K (eV/atom) = -0.40
# - magnetization (μB/cell) = 0.00
data_CaSc5In6
_chemical_formula_sum 'Ca2 Sc10 In12'
_space_group_name_H-M_alt 'I m m m'
_space_group_IT_number 71
_space_group_name_Hall '-I 2 2'
_cell_length_a 5.123
_cell_length_b 7.133
_cell_length_c 15.365
_cell_angle_alpha 90.00
_cell_angle_beta 90.00
_cell_angle_gamma 90.00
loop_
_atom_site_label
_atom_site_type_symbol
_atom_site_fract_x
_atom_site_fract_y
_atom_site_fract_z
Ca1 Ca 0.000 0.000 0.000
Sc1 Sc 0.000 0.000 0.332
Sc2 Sc 0.000 0.500 0.000
Sc3 Sc 0.000 0.500 0.338
In1 In 0.000 0.237 0.500
In2 In 0.000 0.257 0.171